An optimized crystal structure of Sr2TaSi. Source: Alexandria, functional PBE.

```
4
Lattice="-1.9134 2.7328 5.5615 1.9134 -2.7328 5.5615 1.9134 2.7328 -5.5615" Properties=species:S:1:pos:R:3 pbc="T T T"
Sr 0.0000 0.0000 0.0000
Sr 0.0000 2.7328 2.2018
Ta 1.9134 0.0000 3.3674
Si 0.0000 0.0000 4.9788
```

Calculated values
symmetry = Imm2 (44)
uncorrected energy = -4.851 eV/atom
energy relative to the elements, uncorrected = 7.1 kcal/mol of atoms